A plane-wave DFT calculation with PBE was carried out for a geometry-optimized NaLa2Co2 structure.

The structure in POSCAR format:
```
NaLa2Co2
1.0
7.922 0.000 0.000
0.000 7.922 0.000
0.000 0.000 3.678
La Na Co
4 2 4
Cartesian
1.246 5.207 1.839
6.676 2.715 1.839
2.715 1.246 1.839
5.207 6.676 1.839
0.000 0.000 0.000
3.961 3.961 0.000
4.924 0.964 0.000
2.997 6.958 0.000
0.964 2.997 0.000
6.958 4.924 0.000
```

## Properties
**Formation enthalpy at 0 K**: 140 meV per atom
**ΔE to the lowest computed polymorph**: 0 meV per atom

---

A plane-wave DFT calculation with PBE was carried out for a geometry-optimized NaLa3Co structure.

The structure in POSCAR format:
```
NaLa3Co
1.0
-2.821 3.179 3.541
-2.391 -4.506 2.141
4.115 -0.439 3.671
Na La Co
1 3 1
Cartesian
-0.548 -0.883 4.677
2.057 -0.219 1.836
-1.410 1.589 1.771
-1.195 -2.253 1.070
0.000 0.000 0.000
```

## Properties
**Formation enthalpy at 0 K**: 8 meV per atom